(1)
Below is an optimized crystal structure of LiSc5In6, with properties calculated at the PBE level.

* E: -4.57 eV/atom
* crystal system: orthorhombic
* spin magnetization: 0.0797 μB/atom

CIF file:
```
data_LiSc5In6
_chemical_formula_sum 'Li2 Sc10 In12'
_cell_length_a 4.554
_cell_length_b 8.492
_cell_length_c 13.739
_cell_angle_alpha 90.00
_cell_angle_beta 90.00
_cell_angle_gamma 90.00
_symmetry_space_group_name_H-M 'I m m m'
_symmetry_Int_Tables_number 71
_symmetry_space_group_name_Hall '-I 2 2'
loop_
_atom_site_label
_atom_site_type_symbol
_atom_site_fract_x
_atom_site_fract_y
_atom_site_fract_z
Li1 Li 0.000 0.000 0.000
Sc1 Sc 0.000 0.000 0.334
Sc2 Sc 0.000 0.500 0.000
Sc3 Sc 0.000 0.500 0.337
In1 In 0.000 0.248 0.166
In2 In 0.000 0.254 0.500
```

(2)
Below is an optimized crystal structure of LiScIn3, with properties calculated at the PBE level.

* E: -3.20 eV/atom
* offset from the most stable computed form: 1.22 eV/f.u.
* crystal system: cubic
* spin magnetization: 0.0000 μB/atom

CIF file:
```
data_LiScIn3
_chemical_formula_sum 'Li1 Sc1 In3'
_cell_length_a 4.878
_cell_length_b 4.878
_cell_length_c 4.878
_cell_angle_alpha 90.00
_cell_angle_beta 90.00
_cell_angle_gamma 90.00
_symmetry_space_group_name_H-M 'P m -3 m'
_symmetry_Int_Tables_number 221
_symmetry_space_group_name_Hall '-P 4 2 3'
loop_
_atom_site_label
_atom_site_type_symbol
_atom_site_fract_x
_atom_site_fract_y
_atom_site_fract_z
Li1 Li 0.000 0.000 0.000
Sc1 Sc 0.500 0.500 0.500
In1 In 0.000 0.000 0.500
```

(3)
Below is an optimized crystal structure of Li2Sc2In, with properties calculated at the PBE level.

* E: -3.90 eV/atom
* offset from the most stable computed form: 0.00 eV/f.u.
* crystal system: tetragonal
* spin magnetization: 0.2136 μB/atom

CIF file:
```
data_Li2Sc2In
_chemical_formula_sum 'Li4 Sc4 In2'
_cell_length_a 6.765
_cell_length_b 6.765
_cell_length_c 4.468
_cell_angle_alpha 90.00
_cell_angle_beta 90.00
_cell_angle_gamma 90.00
_symmetry_space_group_name_H-M 'P 4/m b m'
_symmetry_Int_Tables_number 127
_symmetry_space_group_name_Hall '-P 4 2ab'
loop_
_atom_site_label
_atom_site_type_symbol
_atom_site_fract_x
_atom_site_fract_y
_atom_site_fract_z
Li1 Li 0.124 0.376 0.000
Sc1 Sc 0.188 0.688 0.500
In1 In 0.000 0.000 0.000
```

(4)
Below is an optimized crystal structure of Li2Sc2In, with properties calculated at the PBE level.

* E: -3.79 eV/atom
* offset from the most stable computed form: 0.55 eV/f.u.
* crystal system: tetragonal
* spin magnetization: 0.1554 μB/atom

CIF file:
```
data_Li2Sc2In
_chemical_formula_sum 'Li4 Sc4 In2'
_cell_length_a 3.379
_cell_length_b 3.379
_cell_length_c 18.936
_cell_angle_alpha 90.00
_cell_angle_beta 90.00
_cell_angle_gamma 90.00
_symmetry_space_group_name_H-M 'I 4/m m m'
_symmetry_Int_Tables_number 139
_symmetry_space_group_name_Hall '-I 4 2'
loop_
_atom_site_label
_atom_site_type_symbol
_atom_site_fract_x
_atom_site_fract_y
_atom_site_fract_z
Li1 Li 0.000 0.500 0.250
Sc1 Sc 0.000 0.000 0.105
In1 In 0.000 0.000 0.500
```

(5)
Below is an optimized crystal structure of LiScIn3, with properties calculated at the PBE level.

* E: -2.93 eV/atom
* offset from the most stable computed form: 2.58 eV/f.u.
* crystal system: cubic
* spin magnetization: 0.0001 μB/atom

CIF file:
```
data_LiScIn3
_chemical_formula_sum 'Li1 Sc1 In3'
_cell_length_a 5.591
_cell_length_b 5.591
_cell_length_c 5.591
_cell_angle_alpha 90.00
_cell_angle_beta 90.00
_cell_angle_gamma 90.00
_symmetry_space_group_name_H-M 'P m -3 m'
_symmetry_Int_Tables_number 221
_symmetry_space_group_name_Hall '-P 4 2 3'
loop_
_atom_site_label
_atom_site_type_symbol
_atom_site_fract_x
_atom_site_fract_y
_atom_site_fract_z
Li1 Li 0.000 0.000 0.000
Sc1 Sc 0.500 0.500 0.500
In1 In 0.000 0.500 0.500
```

(6)
Below is an optimized crystal structure of LiSc6In5, with properties calculated at the PBE level.

* E: -4.85 eV/atom
* crystal system: monoclinic
* spin magnetization: 0.0000 μB/atom

CIF file:
```
data_LiSc6In5
_chemical_formula_sum 'Li2 Sc12 In10'
_cell_length_a 15.912
_cell_length_b 7.029
_cell_length_c 5.025
_cell_angle_alpha 90.00
_cell_angle_beta 108.25
_cell_angle_gamma 90.00
_symmetry_space_group_name_H-M 'C 1 2/m 1'
_symmetry_Int_Tables_number 12
_symmetry_space_group_name_Hall '-C 2y'
loop_
_atom_site_label
_atom_site_type_symbol
_atom_site_fract_x
_atom_site_fract_y
_atom_site_fract_z
Li1 Li 0.000 0.000 0.000
Sc1 Sc 0.000 0.250 0.500
Sc2 Sc 0.167 0.249 0.167
In1 In 0.000 0.500 0.000
In2 In 0.159 0.000 0.659
In3 In 0.167 0.500 0.667
```

(7)
Below is an optimized crystal structure of Li3Sc2In4, with properties calculated at the PBE level.

* E: -3.52 eV/atom
* crystal system: orthorhombic
* spin magnetization: 0.0000 μB/atom

CIF file:
```
data_Li3Sc2In4
_chemical_formula_sum 'Li12 Sc8 In16'
_cell_length_a 6.010
_cell_length_b 16.066
_cell_length_c 7.803
_cell_angle_alpha 90.00
_cell_angle_beta 90.00
_cell_angle_gamma 90.00
_symmetry_space_group_name_H-M 'C m c e'
_symmetry_Int_Tables_number 64
_symmetry_space_group_name_Hall '-C 2ac 2'
loop_
_atom_site_label
_atom_site_type_symbol
_atom_site_fract_x
_atom_site_fract_y
_atom_site_fract_z
Li1 Li 0.000 0.000 0.000
Li2 Li 0.250 0.235 0.250
Sc1 Sc 0.000 0.100 0.598
In1 In 0.000 0.169 0.972
In2 In 0.250 0.060 0.250
```

(8)
Below is an optimized crystal structure of Li2Sc3In4, with properties calculated at the PBE level.

* E: -4.09 eV/atom
* crystal system: monoclinic
* spin magnetization: 0.0000 μB/atom

CIF file:
```
data_Li2Sc3In4
_chemical_formula_sum 'Li4 Sc6 In8'
_cell_length_a 10.466
_cell_length_b 4.764
_cell_length_c 9.003
_cell_angle_alpha 90.00
_cell_angle_beta 120.56
_cell_angle_gamma 90.00
_symmetry_space_group_name_H-M 'C 1 2/m 1'
_symmetry_Int_Tables_number 12
_symmetry_space_group_name_Hall '-C 2y'
loop_
_atom_site_label
_atom_site_type_symbol
_atom_site_fract_x
_atom_site_fract_y
_atom_site_fract_z
Li1 Li 0.116 0.000 0.288
Sc1 Sc 0.000 0.500 0.000
Sc2 Sc 0.163 0.000 0.662
In1 In 0.058 0.500 0.382
In2 In 0.226 0.000 0.077
```

(9)
Below is an optimized crystal structure of Li3Sc3InSe8, with properties calculated at the PBE level.

* E: -4.99 eV/atom
* formation energy (no corrections): -1.30 eV per atom
* crystal system: trigonal
* spin magnetization: 0.0000 μB/atom

CIF file:
```
data_Li3Sc3InSe8
_chemical_formula_sum 'Li9 Sc9 In3 Se24'
_cell_length_a 7.7016
_cell_length_b 7.7016
_cell_length_c 19.4194
_cell_angle_alpha 90.00
_cell_angle_beta 90.00
_cell_angle_gamma 120.00
_symmetry_space_group_name_H-M 'R -3 m'
_symmetry_Int_Tables_number 166
_symmetry_space_group_name_Hall '-R 3 2"'
loop_
_atom_site_label
_atom_site_type_symbol
_atom_site_fract_x
_atom_site_fract_y
_atom_site_fract_z
Li1 Li 0.0000 0.5000 0.0000
Sc1 Sc 0.0000 0.5000 0.5000
In1 In 0.0000 0.0000 0.5000
Se1 Se 0.0000 0.0000 0.2477
Se2 Se 0.0078 0.5039 0.7512
```

(10)
Below is an optimized crystal structure of LiSmScIn, with properties calculated at the PBE level.

* E: -4.17 eV/atom
* crystal system: cubic
* spin magnetization: 0.0004 μB/atom

CIF file:
```
data_LiSmScIn
_chemical_formula_sum 'Li4 Sm4 Sc4 In4'
_cell_length_a 7.332
_cell_length_b 7.332
_cell_length_c 7.332
_cell_angle_alpha 90.00
_cell_angle_beta 90.00
_cell_angle_gamma 90.00
_symmetry_space_group_name_H-M 'F -4 3 m'
_symmetry_Int_Tables_number 216
_symmetry_space_group_name_Hall 'F -4 2 3'
loop_
_atom_site_label
_atom_site_type_symbol
_atom_site_fract_x
_atom_site_fract_y
_atom_site_fract_z
Li1 Li 0.000 0.000 0.000
Sm1 Sm 0.250 0.250 0.750
Sc1 Sc 0.250 0.250 0.250
In1 In 0.000 0.000 0.500
```

(11)
Below is an optimized crystal structure of Li2Tb2ScIn5, with properties calculated at the PBE level.

* E: -3.68 eV/atom
* crystal system: tetragonal
* spin magnetization: 0.0000 μB/atom

CIF file:
```
data_Li2Tb2ScIn5
_chemical_formula_sum 'Li4 Tb4 Sc2 In10'
_cell_length_a 10.121
_cell_length_b 10.121
_cell_length_c 4.414
_cell_angle_alpha 90.00
_cell_angle_beta 90.00
_cell_angle_gamma 90.00
_symmetry_space_group_name_H-M 'P 4/m b m'
_symmetry_Int_Tables_number 127
_symmetry_space_group_name_Hall '-P 4 2ab'
loop_
_atom_site_label
_atom_site_type_symbol
_atom_site_fract_x
_atom_site_fract_y
_atom_site_fract_z
Li1 Li 0.118 0.382 0.000
Tb1 Tb 0.177 0.677 0.000
Sc1 Sc 0.000 0.000 0.000
In1 In 0.000 0.500 0.500
In2 In 0.070 0.206 0.500
```

(12)
Below is an optimized crystal structure of LiTb2ScIn4, with properties calculated at the PBE level.

* E: -3.97 eV/atom
* crystal system: trigonal
* spin magnetization: 0.0000 μB/atom

CIF file:
```
data_LiTb2ScIn4
_chemical_formula_sum 'Li3 Tb6 Sc3 In12'
_cell_length_a 5.1453
_cell_length_b 5.1453
_cell_length_c 25.5626
_cell_angle_alpha 90.00
_cell_angle_beta 90.00
_cell_angle_gamma 120.00
_symmetry_space_group_name_H-M 'R -3 m'
_symmetry_Int_Tables_number 166
_symmetry_space_group_name_Hall '-R 3 2"'
loop_
_atom_site_label
_atom_site_type_symbol
_atom_site_fract_x
_atom_site_fract_y
_atom_site_fract_z
Li1 Li 0.0000 0.0000 0.0000
Tb1 Tb 0.0000 0.0000 0.2534
Sc1 Sc 0.0000 0.0000 0.5000
In1 In 0.0000 0.0000 0.1252
In2 In 0.0000 0.0000 0.3753
```

spin magnetization of number 4 (Li2Sc2In)?
0.1554 μB/atom

What did the fifth record say?
Below is an optimized crystal structure of LiScIn3, with properties calculated at the PBE level.

* E: -2.93 eV/atom
* offset from the most stable computed form: 2.58 eV/f.u.
* crystal system: cubic
* spin magnetization: 0.0001 μB/atom

CIF file:
```
data_LiScIn3
_chemical_formula_sum 'Li1 Sc1 In3'
_cell_length_a 5.591
_cell_length_b 5.591
_cell_length_c 5.591
_cell_angle_alpha 90.00
_cell_angle_beta 90.00
_cell_angle_gamma 90.00
_symmetry_space_group_name_H-M 'P m -3 m'
_symmetry_Int_Tables_number 221
_symmetry_space_group_name_Hall '-P 4 2 3'
loop_
_atom_site_label
_atom_site_type_symbol
_atom_site_fract_x
_atom_site_fract_y
_atom_site_fract_z
Li1 Li 0.000 0.000 0.000
Sc1 Sc 0.500 0.500 0.500
In1 In 0.000 0.500 0.500
```